DFT (meta-GGA SCAN) results for a crystal of Sr3SnOs relaxed with PBEsol.

Structure (POSCAR):
```
Sr3SnOs
1.0
6.073 0.000 0.000
0.000 6.073 0.000
0.000 0.000 6.073
Sr Sn Os
3 1 1
direct
0.000 0.000 0.500
0.000 0.500 0.000
0.500 0.000 0.000
0.000 0.000 0.000
0.500 0.500 0.500
```

Results
formation energy from the elements	960	meV/atom
density of states at the Fermi level	0.703	states/eV/atom